(1)
Compound: FeCo7Pt2
Source: Alexandria
Functional: GGA-PBE
Structure: relaxed

Structure (CIF):
```
data_FeCo7Pt2
_chemical_formula_sum 'Fe1 Co7 Pt2'
_cell_length_a 4.071
_cell_length_b 6.109
_cell_length_c 6.109
_cell_angle_alpha 88.03
_cell_angle_beta 70.53
_cell_angle_gamma 70.53
_symmetry_space_group_name_H-M 'P 1'
_symmetry_Int_Tables_number 1
_symmetry_space_group_name_Hall 'P 1'
loop_
_atom_site_label
_atom_site_type_symbol
_atom_site_fract_x
_atom_site_fract_y
_atom_site_fract_z
Co1 Co 0.244 0.594 0.918
Co2 Co 0.000 0.646 0.354
Co3 Co 0.756 0.082 0.406
Co4 Co 0.500 0.500 0.500
Co5 Co 0.756 0.406 0.082
Co6 Co 0.000 0.354 0.646
Co7 Co 0.244 0.918 0.594
Fe1 Fe 0.000 0.000 0.000
Pt1 Pt 0.500 0.837 0.163
Pt2 Pt 0.500 0.163 0.837
```

E_tot = -6.786 eV per atom
Energy of formation = 5.59 kcal/mol of atoms
Total moment = 16.23 μB per formula unit
Crystal system = orthorhombic

(2)
Compound: Pm6Ir2O
Source: Alexandria
Functional: GGA-PBE
Structure: relaxed

Structure (CIF):
```
data_Pm6Ir2O
_chemical_formula_sum 'Pm12 Ir4 O2'
_cell_length_a 6.531
_cell_length_b 7.270
_cell_length_c 9.791
_cell_angle_alpha 90.00
_cell_angle_beta 91.82
_cell_angle_gamma 90.00
_symmetry_space_group_name_H-M 'P 1'
_symmetry_Int_Tables_number 1
_symmetry_space_group_name_Hall 'P 1'
loop_
_atom_site_label
_atom_site_type_symbol
_atom_site_fract_x
_atom_site_fract_y
_atom_site_fract_z
Pm1 Pm 0.328 0.819 0.065
Ir1 Ir 0.551 0.891 0.743
Ir2 Ir 0.449 0.109 0.257
Pm2 Pm 0.184 0.329 0.061
Pm3 Pm 0.816 0.671 0.939
Ir3 Ir 0.949 0.391 0.757
Pm4 Pm 0.316 0.829 0.439
Ir4 Ir 0.051 0.609 0.243
Pm5 Pm 0.129 0.038 0.742
Pm6 Pm 0.684 0.171 0.561
Pm7 Pm 0.629 0.462 0.242
Pm8 Pm 0.672 0.181 0.935
Pm9 Pm 0.828 0.681 0.565
Pm10 Pm 0.871 0.962 0.258
O1 O 0.000 0.000 0.500
O2 O 0.500 0.500 0.000
Pm11 Pm 0.371 0.538 0.758
Pm12 Pm 0.172 0.319 0.435
```

E_tot = -6.710 eV per atom
ΔE_f (raw) = -1.023 eV per atom
Total moment = 0.00 μB per formula unit
Crystal system = monoclinic

(3)
Compound: AcCeNd2Bi4
Source: Alexandria
Functional: GGA-PBE
Structure: relaxed

Structure (CIF):
```
data_AcCeNd2Bi4
_chemical_formula_sum 'Ac1 Ce1 Nd2 Bi4'
_cell_length_a 4.682
_cell_length_b 8.105
_cell_length_c 8.107
_cell_angle_alpha 70.58
_cell_angle_beta 90.00
_cell_angle_gamma 90.00
_symmetry_space_group_name_H-M 'P 1'
_symmetry_Int_Tables_number 1
_symmetry_space_group_name_Hall 'P 1'
loop_
_atom_site_label
_atom_site_type_symbol
_atom_site_fract_x
_atom_site_fract_y
_atom_site_fract_z
Bi1 Bi 0.500 0.759 0.239
Ac1 Ac 0.000 0.500 0.500
Nd1 Nd 0.000 0.000 0.000
Bi2 Bi 0.500 0.241 0.761
Bi3 Bi 0.000 0.753 0.756
Ce1 Ce 0.500 0.500 0.000
Bi4 Bi 0.000 0.247 0.244
Nd2 Nd 0.500 0.000 0.500
```

E_tot = -5.300 eV per atom
Energy of formation = -21.04 kcal/mol of atoms
Total moment = 0.84 μB per formula unit
Crystal system = monoclinic

(4)
Compound: CsSc2CuSe
Source: Alexandria
Functional: GGA-PBE
Structure: relaxed

Structure (CIF):
```
data_CsSc2CuSe
_chemical_formula_sum 'Cs1 Sc2 Cu1 Se1'
_cell_length_a 5.242
_cell_length_b 5.242
_cell_length_c 5.257
_cell_angle_alpha 90.00
_cell_angle_beta 90.00
_cell_angle_gamma 90.00
_symmetry_space_group_name_H-M 'P 1'
_symmetry_Int_Tables_number 1
_symmetry_space_group_name_Hall 'P 1'
loop_
_atom_site_label
_atom_site_type_symbol
_atom_site_fract_x
_atom_site_fract_y
_atom_site_fract_z
Se1 Se 0.000 0.000 0.000
Cu1 Cu 0.000 0.000 0.500
Cs1 Cs 0.500 0.500 0.500
Sc1 Sc 0.500 0.000 0.000
Sc2 Sc 0.000 0.500 0.000
```

E_tot = -3.982 eV per atom
ΔE_f (raw) = 0.237 eV per atom
Total moment = 1.48 μB per formula unit
Crystal system = tetragonal

(5)
Compound: Dy2ErScN4
Source: Alexandria
Functional: GGA-PBE
Structure: relaxed

Structure (CIF):
```
data_Dy2ErScN4
_chemical_formula_sum 'Dy2 Er1 Sc1 N4'
_cell_length_a 3.400
_cell_length_b 5.883
_cell_length_c 5.883
_cell_angle_alpha 109.43
_cell_angle_beta 90.00
_cell_angle_gamma 90.00
_symmetry_space_group_name_H-M 'P 1'
_symmetry_Int_Tables_number 1
_symmetry_space_group_name_Hall 'P 1'
loop_
_atom_site_label
_atom_site_type_symbol
_atom_site_fract_x
_atom_site_fract_y
_atom_site_fract_z
Dy1 Dy 0.500 0.000 0.500
N1 N 0.000 0.753 0.244
N2 N 0.500 0.758 0.760
N3 N 0.500 0.242 0.240
N4 N 0.000 0.247 0.756
Er1 Er 0.500 0.500 0.000
Sc1 Sc 0.000 0.000 0.000
Dy2 Dy 0.000 0.500 0.500
```

E_tot = -8.413 eV per atom
ΔE_f (raw) = -1.738 eV per atom
Total moment = 0.00 μB per formula unit
Crystal system = monoclinic

(6)
Compound: Sm4GePCl2
Source: Alexandria
Functional: GGA-PBE
Structure: relaxed

Structure (CIF):
```
data_Sm4GePCl2
_chemical_formula_sum 'Sm4 Ge1 P1 Cl2'
_cell_length_a 4.146
_cell_length_b 7.278
_cell_length_c 7.188
_cell_angle_alpha 70.72
_cell_angle_beta 90.00
_cell_angle_gamma 90.00
_symmetry_space_group_name_H-M 'P 1'
_symmetry_Int_Tables_number 1
_symmetry_space_group_name_Hall 'P 1'
loop_
_atom_site_label
_atom_site_type_symbol
_atom_site_fract_x
_atom_site_fract_y
_atom_site_fract_z
Sm1 Sm 0.500 0.717 0.268
Cl1 Cl 0.000 0.000 0.000
Sm2 Sm 0.000 0.278 0.249
P1 P 0.000 0.500 0.500
Sm3 Sm 0.500 0.283 0.732
Ge1 Ge 0.500 0.500 0.000
Cl2 Cl 0.500 0.000 0.500
Sm4 Sm 0.000 0.722 0.751
```

E_tot = -5.490 eV per atom
ΔE_f (raw) = -1.415 eV per atom
Total moment = 0.00 μB per formula unit
Crystal system = monoclinic